Entry 1:
The following is a DFT calculation (GGA-PBE) of a relaxed TbCeHo2 crystal.

Cell lengths 4.9918, 4.9918, 4.9704 Å; angles 90.00, 90.00, 90.00 degrees
Sites, in units of the cell vectors:
Tb  0.0000  0.0000  0.0000
Ce  0.5000  0.5000  0.0000
Ho  0.0000  0.5000  0.5000
Ho  0.5000  0.0000  0.5000

Output
D(E_F)	6.48	states/eV per cell
M_tot	0.47	μB per cell
volume	123.86	Å³ per cell
energy relative to the elements	0.066	eV per atom
crystal system	tetragonal
mass density	8.432	g/cm3



Entry 2:
The following is a DFT calculation (GGA-PBE) of a relaxed Tb5Ce2Ho12 crystal.

Cell lengths 6.1558, 10.0743, 10.4665 Å; angles 66.94, 84.66, 87.56 degrees
Sites, in units of the cell vectors:
Tb  0.0000  0.0000  0.0000
Tb  0.0965  0.9981  0.3361
Tb  0.4244  0.5059  0.1640
Tb  0.5756  0.4941  0.8360
Tb  0.9035  0.0019  0.6639
Ce  0.3011  0.5162  0.4578
Ce  0.6989  0.4838  0.5422
Ho  0.0502  0.2986  0.7341
Ho  0.0837  0.6715  0.6557
Ho  0.1103  0.3288  0.0279
Ho  0.3890  0.8294  0.8320
Ho  0.4054  0.1666  0.5059
Ho  0.4734  0.8469  0.1602
Ho  0.5266  0.1531  0.8398
Ho  0.5946  0.8334  0.4941
Ho  0.6110  0.1706  0.1680
Ho  0.8897  0.6712  0.9721
Ho  0.9163  0.3285  0.3443
Ho  0.9498  0.7014  0.2659

Output
D(E_F)	31.72	states/eV per cell
M_tot	0.00	μB per cell
volume	594.61	Å³ per cell
energy relative to the elements	0.102	eV per atom
crystal system	triclinic
mass density	8.529	g/cm3



Entry 3:
The following is a DFT calculation (GGA-PBE) of a relaxed Tb7CeHo3 crystal.

Cell lengths 7.0403, 7.0403, 8.5758 Å; angles 90.00, 90.00, 120.00 degrees
Sites, in units of the cell vectors:
Tb  0.0000  0.0000  0.9999
Tb  0.1659  0.3318  0.3332
Tb  0.1659  0.8341  0.3332
Tb  0.5024  0.0048  0.0000
Tb  0.5024  0.4976  0.0000
Tb  0.6682  0.8341  0.3332
Tb  0.9952  0.4976  0.0000
Ce  0.6667  0.3333  0.3306
Ho  0.3361  0.1680  0.6639
Ho  0.8320  0.1680  0.6639
Ho  0.8320  0.6639  0.6639

Output
D(E_F)	20.08	states/eV per cell
M_tot	0.98	μB per cell
volume	368.12	Å³ per cell
energy relative to the elements	0.206	eV per atom
crystal system	trigonal
mass density	7.882	g/cm3



Entry 4:
The following is a DFT calculation (GGA-PBE) of a relaxed Tb3CeHo12 crystal.

Cell lengths 4.9943, 4.9943, 19.9651 Å; angles 90.00, 90.00, 90.00 degrees
Sites, in units of the cell vectors:
Tb  0.0000  0.0000  0.0000
Tb  0.0000  0.0000  0.2511
Tb  0.0000  0.0000  0.7489
Ce  0.0000  0.0000  0.5000
Ho  0.0000  0.5000  0.1253
Ho  0.0000  0.5000  0.3761
Ho  0.0000  0.5000  0.6239
Ho  0.0000  0.5000  0.8747
Ho  0.5000  0.0000  0.1253
Ho  0.5000  0.0000  0.3761
Ho  0.5000  0.0000  0.6239
Ho  0.5000  0.0000  0.8747
Ho  0.5000  0.5000  0.0000
Ho  0.5000  0.5000  0.2491
Ho  0.5000  0.5000  0.5000
Ho  0.5000  0.5000  0.7509

Output
D(E_F)	22.00	states/eV per cell
M_tot	0.88	μB per cell
volume	497.98	Å³ per cell
energy relative to the elements	0.031	eV per atom
crystal system	tetragonal
mass density	8.657	g/cm3



Entry 5:
The following is a DFT calculation (GGA-PBE) of a relaxed Tb2CeHo7 crystal.

Cell lengths 14.6729, 14.6729, 3.4591 Å; angles 90.00, 90.00, 154.56 degrees
Sites, in units of the cell vectors:
Tb  0.2074  0.7926  0.0000
Tb  0.7926  0.2074  0.0000
Ce  0.5000  0.5000  0.5000
Ho  0.0000  0.0000  0.0000
Ho  0.1543  0.3516  0.0000
Ho  0.3135  0.6865  0.5000
Ho  0.3516  0.1543  0.0000
Ho  0.6484  0.8457  0.0000
Ho  0.6865  0.3135  0.5000
Ho  0.8457  0.6484  0.0000

Output
D(E_F)	19.11	states/eV per cell
M_tot	0.87	μB per cell
volume	319.96	Å³ per cell
energy relative to the elements	0.190	eV per atom
crystal system	orthorhombic
mass density	8.368	g/cm3



Entry 6:
The following is a DFT calculation (GGA-PBE) of a relaxed Tb6CeHo5 crystal.

Cell lengths 9.3770, 9.3770, 9.3770 Å; angles 149.00, 115.42, 73.36 degrees
Sites, in units of the cell vectors:
Tb  0.0841  0.3346  0.7495
Tb  0.2484  0.0000  0.2484
Tb  0.4149  0.6654  0.7495
Tb  0.5851  0.3346  0.2505
Tb  0.7516  0.0000  0.7516
Tb  0.9159  0.6654  0.2505
Ce  0.0000  0.5000  0.5000
Ho  0.1665  0.1665  0.0000
Ho  0.3328  0.8328  0.5000
Ho  0.5000  0.5000  0.0000
Ho  0.6672  0.1672  0.5000
Ho  0.8335  0.8335  0.0000

Output
D(E_F)	18.90	states/eV per cell
M_tot	1.08	μB per cell
volume	377.66	Å³ per cell
energy relative to the elements	0.036	eV per atom
crystal system	orthorhombic
mass density	8.435	g/cm3



Entry 7:
The following is a DFT calculation (GGA-PBE) of a relaxed Tb4CeHo6 crystal.

Cell lengths 5.5594, 5.5594, 25.6083 Å; angles 90.00, 90.00, 118.30 degrees
Sites, in units of the cell vectors:
Tb  0.0322  0.9678  0.6219
Tb  0.0322  0.9678  0.8781
Tb  0.3436  0.6564  0.5419
Tb  0.3436  0.6564  0.9581
Tb  0.6564  0.3436  0.0419
Tb  0.6564  0.3436  0.4581
Tb  0.9678  0.0322  0.1219
Tb  0.9678  0.0322  0.3781
Ce  0.3096  0.6904  0.2500
Ce  0.6904  0.3096  0.7500
Ho  0.0000  0.0000  0.0000
Ho  0.0000  0.0000  0.5000
Ho  0.0247  0.9753  0.7500
Ho  0.3086  0.6914  0.1025
Ho  0.3086  0.6914  0.3975
Ho  0.3609  0.6391  0.6814
Ho  0.3609  0.6391  0.8186
Ho  0.6391  0.3609  0.1814
Ho  0.6391  0.3609  0.3186
Ho  0.6914  0.3086  0.6025
Ho  0.6914  0.3086  0.8975
Ho  0.9753  0.0247  0.2500

Output
D(E_F)	44.19	states/eV per cell
M_tot	1.59	μB per cell
volume	696.87	Å³ per cell
energy relative to the elements	0.145	eV per atom
crystal system	orthorhombic
mass density	8.413	g/cm3



Entry 8:
The following is a DFT calculation (GGA-PBE) of a relaxed TbCeHo2 crystal.

Cell lengths 11.5557, 11.5557, 11.5557 Å; angles 17.60, 17.60, 17.60 degrees
Sites, in units of the cell vectors:
Tb  0.0000  0.0000  0.0000
Ce  0.1657  0.1657  0.1657
Ho  0.5816  0.5816  0.5816
Ho  0.7505  0.7505  0.7505

Output
D(E_F)	7.95	states/eV per cell
M_tot	0.47	μB per cell
volume	123.18	Å³ per cell
energy relative to the elements	0.041	eV per atom
crystal system	trigonal
mass density	8.478	g/cm3



Entry 9:
The following is a DFT calculation (GGA-PBE) of a relaxed TbCeHo crystal.

Cell lengths 6.2098, 6.2098, 10.6543 Å; angles 90.00, 90.00, 62.91 degrees
Sites, in units of the cell vectors:
Tb  0.0010  0.9990  0.8440
Tb  0.4990  0.5010  0.3440
Tb  0.5010  0.4990  0.6560
Tb  0.9990  0.0010  0.1560
Ce  0.0007  0.4993  0.7500
Ce  0.4993  0.0007  0.2500
Ce  0.5007  0.9993  0.7500
Ce  0.9993  0.5007  0.2500
Ho  0.1572  0.1572  0.5000
Ho  0.3428  0.3428  0.0000
Ho  0.6572  0.6572  0.0000
Ho  0.8428  0.8428  0.5000

Output
D(E_F)	27.13	states/eV per cell
M_tot	2.83	μB per cell
volume	365.75	Å³ per cell
energy relative to the elements	0.233	eV per atom
crystal system	orthorhombic
mass density	8.426	g/cm3



Entry 10:
The following is a DFT calculation (GGA-PBE) of a relaxed Tb2CeHo crystal.

Cell lengths 3.5252, 3.5252, 10.0213 Å; angles 90.00, 90.00, 90.00 degrees
Sites, in units of the cell vectors:
Tb  0.0000  0.0000  0.2461
Tb  0.0000  0.0000  0.7539
Ce  0.5000  0.5000  0.0000
Ho  0.5000  0.5000  0.5000

Output
D(E_F)	7.20	states/eV per cell
M_tot	0.60	μB per cell
volume	124.53	Å³ per cell
energy relative to the elements	0.060	eV per atom
crystal system	tetragonal
mass density	8.306	g/cm3



Entry 11:
The following is a DFT calculation (GGA-PBE) of a relaxed Tb2Ce2Ho5 crystal.

Cell lengths 8.7049, 8.7049, 6.5475 Å; angles 110.04, 110.04, 37.50 degrees
Sites, in units of the cell vectors:
Tb  0.0633  0.0633  0.2778
Tb  0.9367  0.9367  0.7222
Ce  0.4223  0.4223  0.0120
Ce  0.5777  0.5777  0.9880
Ho  0.1800  0.1800  0.8541
Ho  0.2931  0.2931  0.4422
Ho  0.5000  0.5000  0.5000
Ho  0.7069  0.7069  0.5578
Ho  0.8200  0.8200  0.1459

Output
D(E_F)	18.73	states/eV per cell
M_tot	0.00	μB per cell
volume	281.57	Å³ per cell
energy relative to the elements	0.122	eV per atom
crystal system	monoclinic
mass density	8.390	g/cm3



Entry 12:
The following is a DFT calculation (GGA-PBE) of a relaxed Tb2CeHo6 crystal.

Cell lengths 7.5461, 7.5461, 7.5461 Å; angles 57.45, 57.45, 57.45 degrees
Sites, in units of the cell vectors:
Tb  0.0000  0.0000  0.0000
Tb  0.1774  0.1774  0.1774
Ce  0.7391  0.7391  0.7391
Ho  0.0288  0.4748  0.4748
Ho  0.1991  0.6808  0.6808
Ho  0.4748  0.0288  0.4748
Ho  0.4748  0.4748  0.0288
Ho  0.6808  0.1991  0.6808
Ho  0.6808  0.6808  0.1991

Output
D(E_F)	8.11	states/eV per cell
M_tot	0.00	μB per cell
volume	286.01	Å³ per cell
energy relative to the elements	0.306	eV per atom
crystal system	trigonal
mass density	8.404	g/cm3



Entry 13:
The following is a DFT calculation (GGA-PBE) of a relaxed Tb4CeHo8 crystal.

Cell lengths 9.8245, 9.8245, 9.8245 Å; angles 43.38, 43.38, 43.38 degrees
Sites, in units of the cell vectors:
Tb  0.0000  0.0000  0.0000
Tb  0.0000  0.5000  0.5000
Tb  0.5000  0.0000  0.5000
Tb  0.5000  0.5000  0.0000
Ce  0.5000  0.5000  0.5000
Ho  0.1970  0.7452  0.7452
Ho  0.2203  0.2203  0.2203
Ho  0.2548  0.2548  0.8030
Ho  0.2548  0.8030  0.2548
Ho  0.7452  0.1970  0.7452
Ho  0.7452  0.7452  0.1970
Ho  0.7797  0.7797  0.7797
Ho  0.8030  0.2548  0.2548

Output
D(E_F)	19.10	states/eV per cell
M_tot	0.02	μB per cell
volume	405.86	Å³ per cell
energy relative to the elements	0.171	eV per atom
crystal system	trigonal
mass density	8.573	g/cm3



Entry 14:
The following is a DFT calculation (GGA-PBE) of a relaxed Tb12Ce2Ho5 crystal.

Cell lengths 8.9918, 8.9918, 8.6092 Å; angles 92.21, 92.21, 61.27 degrees
Sites, in units of the cell vectors:
Tb  0.0602  0.0602  0.3437
Tb  0.0607  0.6750  0.3129
Tb  0.1748  0.5334  0.7627
Tb  0.3250  0.9393  0.6871
Tb  0.4315  0.4315  0.1263
Tb  0.4666  0.8252  0.2373
Tb  0.5334  0.1748  0.7627
Tb  0.5685  0.5685  0.8737
Tb  0.6750  0.0607  0.3129
Tb  0.8252  0.4666  0.2373
Tb  0.9393  0.3250  0.6871
Tb  0.9398  0.9398  0.6563
Ce  0.1486  0.8514  0.0000
Ce  0.8514  0.1486  0.0000
Ho  0.2133  0.2133  0.0403
Ho  0.2692  0.2692  0.4349
Ho  0.5000  0.5000  0.5000
Ho  0.7308  0.7308  0.5651
Ho  0.7867  0.7867  0.9597

Output
D(E_F)	30.56	states/eV per cell
M_tot	0.96	μB per cell
volume	609.79	Å³ per cell
energy relative to the elements	0.141	eV per atom
crystal system	monoclinic
mass density	8.202	g/cm3



Entry 15:
The following is a DFT calculation (GGA-PBE) of a relaxed TbCeHo2 crystal.

Cell lengths 3.3931, 6.3922, 11.5798 Å; angles 94.03, 98.35, 90.07 degrees
Sites, in units of the cell vectors:
Tb  0.2503  0.2433  0.0002
Tb  0.7497  0.7567  0.9998
Ce  0.4972  0.2890  0.4972
Ce  0.5028  0.7110  0.5028
Ho  0.1230  0.5364  0.7460
Ho  0.3739  0.9634  0.2495
Ho  0.6261  0.0366  0.7505
Ho  0.8770  0.4636  0.2540

Output
D(E_F)	14.92	states/eV per cell
M_tot	0.57	μB per cell
volume	247.87	Å³ per cell
energy relative to the elements	0.114	eV per atom
crystal system	triclinic
mass density	8.426	g/cm3



Entry 16:
The following is a DFT calculation (GGA-PBE) of a relaxed Tb3CeHo5 crystal.

Cell lengths 9.8049, 9.8049, 9.8049 Å; angles 128.19, 128.19, 76.32 degrees
Sites, in units of the cell vectors:
Tb  0.1212  0.6212  0.7424
Tb  0.2500  0.2500  0.0000
Tb  0.3788  0.1212  0.5000
Tb  0.6212  0.8788  0.5000
Tb  0.7500  0.7500  0.0000
Tb  0.8788  0.3788  0.2576
Ce  0.2500  0.7500  0.5000
Ce  0.7500  0.2500  0.5000
Ho  0.0000  0.0000  0.0000
Ho  0.0601  0.1622  0.5000
Ho  0.1622  0.6622  0.1021
Ho  0.3378  0.4399  0.5000
Ho  0.4399  0.9399  0.1021
Ho  0.5000  0.5000  0.0000
Ho  0.5601  0.0601  0.8979
Ho  0.6622  0.5601  0.5000
Ho  0.8378  0.3378  0.8979
Ho  0.9399  0.8378  0.5000

Output
D(E_F)	30.09	states/eV per cell
M_tot	2.17	μB per cell
volume	565.83	Å³ per cell
energy relative to the elements	0.286	eV per atom
crystal system	tetragonal
mass density	8.461	g/cm3



Entry 17:
The following is a DFT calculation (GGA-PBE) of a relaxed TbCeHo3 crystal.

Cell lengths 6.1706, 9.2825, 11.6445 Å; angles 90.00, 109.21, 90.00 degrees
Sites, in units of the cell vectors:
Tb  0.0651  0.1909  0.0098
Tb  0.0651  0.3091  0.5098
Tb  0.9349  0.6909  0.4902
Tb  0.9349  0.8091  0.9902
Ce  0.3484  0.7348  0.3494
Ce  0.3484  0.7652  0.8494
Ce  0.6516  0.2348  0.1506
Ce  0.6516  0.2652  0.6506
Ho  0.0992  0.0466  0.2847
Ho  0.0992  0.4534  0.7847
Ho  0.3273  0.5405  0.0818
Ho  0.3273  0.9595  0.5818
Ho  0.4545  0.1112  0.8640
Ho  0.4545  0.3888  0.3640
Ho  0.5455  0.6112  0.6360
Ho  0.5455  0.8888  0.1360
Ho  0.6727  0.0405  0.4182
Ho  0.6727  0.4595  0.9182
Ho  0.9008  0.5466  0.2153
Ho  0.9008  0.9534  0.7153

Output
D(E_F)	41.37	states/eV per cell
M_tot	4.23	μB per cell
volume	629.86	Å³ per cell
energy relative to the elements	0.182	eV per atom
crystal system	monoclinic
mass density	8.371	g/cm3



Entry 18:
The following is a DFT calculation (GGA-PBE) of a relaxed Tb3CeHo crystal.

Cell lengths 6.1084, 6.1084, 10.7247 Å; angles 90.00, 90.00, 128.26 degrees
Sites, in units of the cell vectors:
Tb  0.0000  0.0000  0.1704
Tb  0.0000  0.0000  0.8296
Tb  0.3466  0.6534  0.3097
Tb  0.3466  0.6534  0.6903
Tb  0.6534  0.3466  0.3097
Tb  0.6534  0.3466  0.6903
Ce  0.1230  0.8770  0.5000
Ce  0.8770  0.1230  0.5000
Ho  0.3436  0.6564  0.0000
Ho  0.6564  0.3436  0.0000

Output
D(E_F)	17.95	states/eV per cell
M_tot	0.00	μB per cell
volume	314.21	Å³ per cell
energy relative to the elements	0.175	eV per atom
crystal system	orthorhombic
mass density	8.264	g/cm3



Entry 19:
The following is a DFT calculation (GGA-PBE) of a relaxed Tb4CeHo crystal.

Cell lengths 8.3415, 8.3415, 8.3415 Å; angles 133.16, 92.66, 105.64 degrees
Sites, in units of the cell vectors:
Tb  0.1670  0.1659  0.0011
Tb  0.1682  0.1687  0.5005
Tb  0.1682  0.6677  0.9995
Tb  0.3353  0.8341  0.5011
Tb  0.6647  0.1659  0.4989
Tb  0.8318  0.3323  0.0005
Tb  0.8318  0.8313  0.4995
Tb  0.8330  0.8341  0.9989
Ce  0.0000  0.5000  0.5000
Ce  0.5000  0.5000  0.0000
Ho  0.5000  0.0000  0.0000
Ho  0.5000  0.5000  0.5000

Output
D(E_F)	29.46	states/eV per cell
M_tot	3.02	μB per cell
volume	385.07	Å³ per cell
energy relative to the elements	0.274	eV per atom
crystal system	orthorhombic
mass density	8.114	g/cm3



Entry 20:
The following is a DFT calculation (GGA-PBE) of a relaxed Tb8CeHo6 crystal.

Cell lengths 8.5919, 8.5919, 8.5919 Å; angles 63.03, 63.03, 63.03 degrees
Sites, in units of the cell vectors:
Tb  0.0773  0.0773  0.0773
Tb  0.2175  0.6126  0.2522
Tb  0.2522  0.2175  0.6126
Tb  0.3874  0.7478  0.7825
Tb  0.6127  0.2522  0.2175
Tb  0.7478  0.7825  0.3873
Tb  0.7825  0.3873  0.7478
Tb  0.9227  0.9227  0.9227
Ce  0.5000  0.5000  0.5000
Ho  0.0387  0.6033  0.7351
Ho  0.2649  0.9613  0.3967
Ho  0.3967  0.2649  0.9613
Ho  0.6033  0.7351  0.0387
Ho  0.7351  0.0387  0.6033
Ho  0.9613  0.3967  0.2649

Output
D(E_F)	25.76	states/eV per cell
M_tot	1.15	μB per cell
volume	478.62	Å³ per cell
energy relative to the elements	0.131	eV per atom
crystal system	trigonal
mass density	8.330	g/cm3